No. 1
TiTc5W4 | PBE-GGA | relaxed Values from VASP.

```
&SYSTEM
  ibrav = 0, nat = 10, ntyp = 3
/
ATOMIC_SPECIES
Ti 47.87 Ti.upf
Tc 98.00 Tc.upf
W 183.84 W.upf
ATOMIC_POSITIONS crystal
Ti 0.000 0.000 0.000
Tc 0.500 0.500 0.100
Tc 0.500 0.500 0.301
Tc 0.500 0.500 0.500
Tc 0.500 0.500 0.699
Tc 0.500 0.500 0.900
W 0.000 0.000 0.196
W 0.000 0.000 0.399
W 0.000 0.000 0.601
W 0.000 0.000 0.804
CELL_PARAMETERS angstrom
3.121 0.000 0.000
0.000 3.121 0.000
0.000 0.000 15.725
```

Summary:
- calculated formation energy (eV per formula unit) = -1.1

***

No. 2
Ba2PrHg4 | PBE-GGA | relaxed Values from VASP.

```
&SYSTEM
  ibrav = 0, nat = 14, ntyp = 3
/
ATOMIC_SPECIES
Ba 137.33 Ba.upf
Pr 140.91 Pr.upf
Hg 200.59 Hg.upf
ATOMIC_POSITIONS crystal
Ba 0.000 0.000 0.225
Ba 0.000 0.000 0.775
Ba 0.500 0.500 0.275
Ba 0.500 0.500 0.725
Pr 0.000 0.000 0.500
Pr 0.500 0.500 0.000
Hg 0.000 0.500 0.104
Hg 0.000 0.500 0.396
Hg 0.000 0.500 0.604
Hg 0.000 0.500 0.896
Hg 0.500 0.000 0.104
Hg 0.500 0.000 0.396
Hg 0.500 0.000 0.604
Hg 0.500 0.000 0.896
CELL_PARAMETERS angstrom
5.757 0.000 0.000
0.000 5.757 0.000
0.000 0.000 14.928
```

Summary:
- calculated formation energy (eV per formula unit) = -2.8

***

No. 3
Li3Ce2SmSe6 | PBE-GGA | relaxed Values from VASP.

```
&SYSTEM
  ibrav = 0, nat = 12, ntyp = 4
/
ATOMIC_SPECIES
Li 6.94 Li.upf
Ce 140.12 Ce.upf
Sm 150.36 Sm.upf
Se 78.96 Se.upf
ATOMIC_POSITIONS crystal
Li 0.000 0.000 0.000
Li 0.335 0.665 0.000
Li 0.665 0.335 0.000
Ce 0.167 0.833 0.500
Ce 0.833 0.167 0.500
Sm 0.500 0.500 0.500
Se 0.083 0.414 0.241
Se 0.255 0.255 0.759
Se 0.414 0.083 0.241
Se 0.586 0.917 0.759
Se 0.745 0.745 0.241
Se 0.917 0.586 0.759
CELL_PARAMETERS angstrom
3.633 -6.293 0.000
3.633 6.293 0.000
-2.421 0.000 6.501
```

Summary:
- formation energy from raw total energies (kJ per mole of atoms) = -157